Entry 1:
Here is an optimized crystal structure of RbHfAuS3 from OQMD via LeMat-Bulk. Energies are from PBE.

Summary:
Symmetry ... No. 62
DFT total energy ... -33.08 eV/f.u.

The structure in extended XYZ format:
```
24
Lattice="13.9782 0.0000 0.0000 0.0000 3.8363 0.0000 0.0000 0.0000 11.1544" Properties=species:S:1:pos:R:3 pbc="T T T"
Rb 2.1765 0.9591 0.0391
Rb 4.8126 2.8773 5.6163
Rb 9.1656 0.9591 5.5381
Rb 11.8017 2.8773 11.1153
Hf 0.5745 2.8773 4.0017
Hf 6.4146 0.9591 9.5789
Hf 7.5636 2.8773 1.5755
Hf 13.4038 0.9591 7.1527
Au 2.7103 2.8773 8.3882
Au 4.2788 0.9591 2.8110
Au 9.6994 2.8773 8.3434
Au 11.2679 0.9591 2.7662
S 0.3566 2.8773 8.6689
S 1.4494 0.9591 5.4951
S 2.6796 2.8773 2.7184
S 4.3095 0.9591 8.2956
S 5.5397 2.8773 11.0723
S 6.6325 0.9591 3.0917
S 7.3457 2.8773 8.0627
S 8.4386 0.9591 0.0821
S 9.6687 2.8773 2.8588
S 11.2986 0.9591 8.4360
S 12.5288 2.8773 5.6593
S 13.6216 0.9591 2.4855
```



Entry 2:
Here is an optimized crystal structure of RbHfAuSeS2 from OQMD via LeMat-Bulk. Energies are from PBE.

Summary:
Symmetry ... No. 63
DFT total energy ... -32.26 eV/f.u.

The structure in extended XYZ format:
```
12
Lattice="1.9226 -7.7653 0.0000 1.9226 7.7653 0.0000 0.0000 0.0000 10.2631" Properties=species:S:1:pos:R:3 pbc="T T T"
Rb 1.9226 3.9575 7.6973
Rb 1.9226 -3.9575 2.5658
Hf 0.0000 0.0000 0.0000
Hf 0.0000 0.0000 5.1316
Au 1.9226 0.7922 2.5658
Au 1.9226 -0.7922 7.6973
Se 1.9226 6.6648 2.5658
Se 1.9226 -6.6648 7.6973
S 1.9226 1.7296 0.3375
S 1.9226 1.7296 4.7940
S 1.9226 -1.7296 5.4691
S 1.9226 -1.7296 9.9256
```



Entry 3:
Here is an optimized crystal structure of RbHfTe2AuS from OQMD via LeMat-Bulk. Energies are from PBE.

Summary:
Symmetry ... No. 63
DFT total energy ... -29.42 eV/f.u.

The structure in extended XYZ format:
```
12
Lattice="2.0955 -8.7883 0.0000 2.0955 8.7883 0.0000 0.0000 0.0000 10.0952" Properties=species:S:1:pos:R:3 pbc="T T T"
Rb 2.0955 4.7706 7.5714
Rb 2.0955 -4.7706 2.5238
Hf 0.0000 0.0000 0.0000
Hf 0.0000 0.0000 5.0476
Te 2.0955 2.1037 0.0433
Te 2.0955 2.1037 5.0043
Te 2.0955 -2.1037 5.0909
Te 2.0955 -2.1037 10.0519
Au 2.0955 1.0282 2.5238
Au 2.0955 -1.0282 7.5714
S 2.0955 8.2770 2.5238
S 2.0955 -8.2770 7.5714
```



Entry 4:
Here is an optimized crystal structure of RbHfTeAuS2 from OQMD via LeMat-Bulk. Energies are from PBE.

Summary:
Symmetry ... No. 63
DFT total energy ... -31.32 eV/f.u.

The structure in extended XYZ format:
```
12
Lattice="1.9298 -8.1763 0.0000 1.9298 8.1763 0.0000 0.0000 0.0000 10.6337" Properties=species:S:1:pos:R:3 pbc="T T T"
Rb 1.9298 4.5564 7.9753
Rb 1.9298 -4.5564 2.6584
Hf 0.0000 0.0000 0.0000
Hf 0.0000 0.0000 5.3169
Te 1.9298 6.7430 2.6584
Te 1.9298 -6.7430 7.9753
Au 1.9298 0.5873 2.6584
Au 1.9298 -0.5873 7.9753
S 1.9298 1.6862 0.4740
S 1.9298 1.6862 4.8428
S 1.9298 -1.6862 5.7909
S 1.9298 -1.6862 10.1597
```



Entry 5:
Here is an optimized crystal structure of RbHfAuSe3 from OQMD via LeMat-Bulk. Energies are from PBE.

Summary:
Symmetry ... No. 63
DFT total energy ... -30.56 eV/f.u.

The structure in extended XYZ format:
```
12
Lattice="1.9731 -7.7365 0.0000 1.9731 7.7365 0.0000 0.0000 0.0000 10.4036" Properties=species:S:1:pos:R:3 pbc="T T T"
Rb 1.9731 3.9283 7.8027
Rb 1.9731 -3.9283 2.6009
Hf 0.0000 0.0000 0.0000
Hf 0.0000 0.0000 5.2018
Au 1.9731 0.7431 2.6009
Au 1.9731 -0.7431 7.8027
Se 1.9731 6.6919 2.6009
Se 1.9731 1.8698 0.3120
Se 1.9731 1.8698 4.8898
Se 1.9731 -1.8698 5.5138
Se 1.9731 -1.8698 10.0917
Se 1.9731 -6.6919 7.8027
```



Entry 6:
Here is an optimized crystal structure of RbHfAuSe3 from OQMD via LeMat-Bulk. Energies are from PBE.

Summary:
Symmetry ... No. 62
DFT total energy ... -29.78 eV/f.u.

The structure in extended XYZ format:
```
24
Lattice="12.2888 0.0000 0.0000 0.0000 4.1933 0.0000 0.0000 0.0000 12.6918" Properties=species:S:1:pos:R:3 pbc="T T T"
Rb 2.1581 1.0483 0.5390
Rb 3.9863 3.1449 6.8850
Rb 8.3025 1.0483 5.8069
Rb 10.1307 3.1449 12.1528
Hf 0.4619 1.0483 4.3958
Hf 5.6824 3.1449 10.7417
Hf 6.6063 1.0483 1.9501
Hf 11.8268 3.1449 8.2961
Au 2.3651 3.1449 3.3613
Au 3.7793 1.0483 9.7072
Au 8.5095 3.1449 2.9846
Au 9.9236 1.0483 9.3305
Se 12.2828 1.0483 10.2075
Se 0.0060 3.1449 2.4843
Se 0.9285 1.0483 7.1540
Se 2.9754 3.1449 10.7950
Se 3.1690 1.0483 4.4491
Se 5.2159 3.1449 0.8081
Se 6.1384 1.0483 8.8302
Se 6.1504 3.1449 3.8616
Se 7.0729 1.0483 11.8837
Se 9.1198 3.1449 8.2427
Se 9.3133 1.0483 1.8968
Se 11.3603 3.1449 5.5378
```



Entry 7:
Here is an optimized crystal structure of RbHfTe4Au3 from OQMD via LeMat-Bulk. Energies are from PBE.

Summary:
Energy above the most stable polymorph in this dataset ... 0 meV/atom
Symmetry ... No. 11

The structure in extended XYZ format:
```
18
Lattice="6.5703 0.0000 0.0000 0.0000 8.2177 0.0000 -2.8962 0.0000 10.3589" Properties=species:S:1:pos:R:3 pbc="T T T"
Rb 0.1983 2.0544 4.0610
Rb 3.4759 6.1633 6.2979
Hf 1.7934 6.1633 2.1718
Hf 1.8808 2.0544 8.1871
Te -2.4748 6.1633 10.0631
Te 0.0987 6.1633 4.2872
Te 0.2497 4.2577 7.7334
Te 0.2497 8.0688 7.7334
Te 3.4244 0.1489 2.6255
Te 3.4244 3.9600 2.6255
Te 3.5754 2.0544 6.0717
Te 6.1490 2.0544 0.2958
Au -1.4710 2.0544 8.4080
Au 1.9483 0.3860 0.3554
Au 1.9483 3.7229 0.3554
Au 1.7259 4.4948 10.0035
Au 1.7259 7.8317 10.0035
Au 5.1451 6.1633 1.9510
```



Entry 8:
Here is an optimized crystal structure of RbHfTe4Au3 from OQMD via LeMat-Bulk. Energies are from PBE.

Summary:
Energy above the most stable polymorph in this dataset ... 51 meV/atom
Symmetry ... No. 215

The structure in extended XYZ format:
```
9
Lattice="6.8189 0.0000 0.0000 0.0000 6.8189 0.0000 0.0000 0.0000 6.8189" Properties=species:S:1:pos:R:3 pbc="T T T"
Rb 0.0000 0.0000 0.0000
Hf 3.4095 3.4095 3.4095
Te 1.8485 1.8485 1.8485
Te 1.8485 4.9705 4.9705
Te 4.9705 1.8485 4.9705
Te 4.9705 4.9705 1.8485
Au 0.0000 3.4095 3.4095
Au 3.4095 0.0000 3.4095
Au 3.4095 3.4095 0.0000
```



Please write out number 3 again, unchanged.
Here is an optimized crystal structure of RbHfTe2AuS from OQMD via LeMat-Bulk. Energies are from PBE.

Summary:
Symmetry ... No. 63
DFT total energy ... -29.42 eV/f.u.

The structure in extended XYZ format:
```
12
Lattice="2.0955 -8.7883 0.0000 2.0955 8.7883 0.0000 0.0000 0.0000 10.0952" Properties=species:S:1:pos:R:3 pbc="T T T"
Rb 2.0955 4.7706 7.5714
Rb 2.0955 -4.7706 2.5238
Hf 0.0000 0.0000 0.0000
Hf 0.0000 0.0000 5.0476
Te 2.0955 2.1037 0.0433
Te 2.0955 2.1037 5.0043
Te 2.0955 -2.1037 5.0909
Te 2.0955 -2.1037 10.0519
Au 2.0955 1.0282 2.5238
Au 2.0955 -1.0282 7.5714
S 2.0955 8.2770 2.5238
S 2.0955 -8.2770 7.5714
```